This record from the Alexandria database describes a relaxed structure of KCdPb2. The functional is GGA-PBEsol.

The space group is Pmmm (No. 47) and the conventional cell measures 3.695, 4.063 and 8.044 Å, with angles of 90.00, 90.00 and 90.00 degrees. The asymmetric unit holds K at (0.000, 0.000, 0.000), Cd at (0.000, 0.000, 0.500) and Pb at (0.500, 0.500, 0.304).

The formation energy is -0.06 eV/atom. For the size of the total moment, the calculation gives 0.0 μB/f.u. Its total energy is -2.645 eV per atom.